{"formula": "AcNd6Th2", "functional": "PBE", "state": "relaxed", "formation_enthalpy_0k_ev_per_atom": 0.095, "lattice_angstrom": [[3.6705, 0.0000, 0.0000], [-1.8352, 3.1787, 0.0000], [0.0000, 0.0000, 27.6272]], "species": ["Ac", "Nd", "Nd", "Nd", "Nd", "Nd", "Nd", "Th", "Th"], "frac_coords": [[0.0000, 0.0000, 0.0000], [0.0000, 0.0000, 0.2252], [0.0000, 0.0000, 0.4372], [0.0000, 0.0000, 0.5628], [0.0000, 0.0000, 0.7748], [0.3333, 0.6667, 0.1155], [0.3333, 0.6667, 0.8845], [0.3333, 0.6667, 0.3327], [0.3333, 0.6667, 0.6673]]}